1.
# SrTl6Hg4 (PBE, optimized geometry)
# - Uncorrected energy: -1.5646 eV per atom
# - ΔH_f (0 K): -0.0113 eV per atom
data_SrTl6Hg4
_chemical_formula_sum 'Sr2 Tl12 Hg8'
_cell_length_a 8.357
_cell_length_b 8.357
_cell_length_c 10.706
_cell_angle_alpha 90.00
_cell_angle_beta 90.00
_cell_angle_gamma 90.00
_space_group_name_H-M_alt 'I -4 2 m'
_space_group_IT_number 121
_space_group_name_Hall 'I -4 2'
loop_
_atom_site_label
_atom_site_type_symbol
_atom_site_fract_x
_atom_site_fract_y
_atom_site_fract_z
_atom_site_occupancy
Sr1 Sr 0.000 0.000 0.000 1
Tl1 Tl 0.000 0.500 0.000 1
Tl2 Tl 0.136 0.136 0.651 1
Hg1 Hg 0.234 0.234 0.385 1

---

2.
# SrTl3Hg (PBE, optimized geometry)
# - Uncorrected energy: -1.7264 eV per atom
# - ΔH_f (0 K): 0.0901 eV per atom
# - Polymorph energy (0 for the lowest one): 325 meV per atom
data_SrTl3Hg
_chemical_formula_sum 'Sr1 Tl3 Hg1'
_cell_length_a 5.789
_cell_length_b 5.789
_cell_length_c 5.789
_cell_angle_alpha 90.00
_cell_angle_beta 90.00
_cell_angle_gamma 90.00
_space_group_name_H-M_alt 'P m -3 m'
_space_group_IT_number 221
_space_group_name_Hall '-P 4 2 3'
loop_
_atom_site_label
_atom_site_type_symbol
_atom_site_fract_x
_atom_site_fract_y
_atom_site_fract_z
_atom_site_occupancy
Sr1 Sr 0.000 0.000 0.000 1
Tl1 Tl 0.000 0.500 0.500 1
Hg1 Hg 0.500 0.500 0.500 1

---

3.
# SrTl4Hg6 (PBE, optimized geometry)
# - Uncorrected energy: -1.1790 eV per atom
# - ΔH_f (0 K): -0.0010 eV per atom
data_SrTl4Hg6
_chemical_formula_sum 'Sr2 Tl8 Hg12'
_cell_length_a 8.295
_cell_length_b 8.295
_cell_length_c 10.915
_cell_angle_alpha 90.00
_cell_angle_beta 90.00
_cell_angle_gamma 90.00
_space_group_name_H-M_alt 'I -4 2 m'
_space_group_IT_number 121
_space_group_name_Hall 'I -4 2'
loop_
_atom_site_label
_atom_site_type_symbol
_atom_site_fract_x
_atom_site_fract_y
_atom_site_fract_z
_atom_site_occupancy
Sr1 Sr 0.000 0.000 0.000 1
Tl1 Tl 0.188 0.188 0.569 1
Hg1 Hg 0.000 0.500 0.000 1
Hg2 Hg 0.142 0.142 0.275 1

---

4.
# SrTl12Hg7 (PBE, optimized geometry)
# - Uncorrected energy: -1.6654 eV per atom
# - ΔH_f (0 K): -0.0559 eV per atom
# - Polymorph energy (0 for the lowest one): 0 meV per atom
data_SrTl12Hg7
_chemical_formula_sum 'Sr3 Tl36 Hg21'
_cell_length_a 13.5722
_cell_length_b 13.5722
_cell_length_c 11.3293
_cell_angle_alpha 90.00
_cell_angle_beta 90.00
_cell_angle_gamma 120.00
_space_group_name_H-M_alt 'R -3 m'
_space_group_IT_number 166
_space_group_name_Hall '-R 3 2"'
loop_
_atom_site_label
_atom_site_type_symbol
_atom_site_fract_x
_atom_site_fract_y
_atom_site_fract_z
_atom_site_occupancy
Sr1 Sr 0.0000 0.0000 0.0000 1
Tl1 Tl 0.0000 0.2670 0.0000 1
Tl2 Tl 0.0620 0.5310 0.1220 1
Hg1 Hg 0.0000 0.0000 0.5000 1
Hg2 Hg 0.0840 0.1681 0.7587 1

---

5.
# SrTl5Hg6 (PBE, optimized geometry)
# - Uncorrected energy: -1.4076 eV per atom
# - ΔH_f (0 K): -0.1306 eV per atom
data_SrTl5Hg6
_chemical_formula_sum 'Sr1 Tl5 Hg6'
_cell_length_a 5.756
_cell_length_b 7.172
_cell_length_c 8.945
_cell_angle_alpha 90.00
_cell_angle_beta 108.69
_cell_angle_gamma 90.00
_space_group_name_H-M_alt 'P 1 2/m 1'
_space_group_IT_number 10
loop_
_space_group_symop_operation_xyz
'x,y,z'
'-x,-y,-z'
'-x,y,-z'
'x,-y,z'
loop_
_atom_site_label
_atom_site_type_symbol
_atom_site_fract_x
_atom_site_fract_y
_atom_site_fract_z
_atom_site_occupancy
Sr1 Sr 0.000 0.000 0.000 1
Tl1 Tl 0.000 0.500 0.000 1
Tl2 Tl 0.329 0.500 0.659 1
Tl3 Tl 0.335 0.000 0.669 1
Hg1 Hg 0.168 0.252 0.336 1
Hg2 Hg 0.500 0.268 0.000 1

---

6.
# Sr3Tl2Hg7 (PBE, optimized geometry)
# - Uncorrected energy: -1.2998 eV per atom
# - ΔH_f (0 K): -0.3089 eV per atom
data_Sr3Tl2Hg7
_chemical_formula_sum 'Sr3 Tl2 Hg7'
_cell_length_a 5.080
_cell_length_b 4.512
_cell_length_c 16.172
_cell_angle_alpha 90.00
_cell_angle_beta 98.68
_cell_angle_gamma 90.00
_space_group_name_H-M_alt 'P 1 2/m 1'
_space_group_IT_number 10
loop_
_space_group_symop_operation_xyz
'x,y,z'
'-x,-y,-z'
'-x,y,-z'
'x,-y,z'
loop_
_atom_site_label
_atom_site_type_symbol
_atom_site_fract_x
_atom_site_fract_y
_atom_site_fract_z
_atom_site_occupancy
Sr1 Sr 0.000 0.000 0.000 1
Sr2 Sr 0.321 0.500 0.638 1
Tl1 Tl 0.133 0.000 0.276 1
Hg1 Hg 0.073 0.500 0.148 1
Hg2 Hg 0.231 0.000 0.460 1
Hg3 Hg 0.424 0.000 0.844 1
Hg4 Hg 0.500 0.500 0.000 1

---

> What is the uncorrected energy in the fourth record?

-1.6654 eV per atom